## Sr2CoPb2 (PBE-GGA)

Data for a relaxed Sr2CoPb2 crystal.

Cell: 6.153 6.153 6.153 Å, 114.52 114.52 99.78°
Positions (direct):
Sr 0.250 0.750 0.500
Sr 0.750 0.250 0.500
Co 0.000 0.000 0.000
Pb 0.315 0.315 0.000
Pb 0.685 0.685 0.000

Magnetic moment: 0.0000 μB/atom
VASP energy: -3.284 eV/atom
Crystal system: tetragonal
E_form: 0.294 eV per atom
Polymorph energy (0 for the lowest one): 170.0 kJ/mol of formula units


## Tb2DyPd9 (PBE-GGA)

Data for a relaxed Tb2DyPd9 crystal.

Cell: 4.130 4.130 12.391 Å, 90.00 90.00 90.00°
Positions (direct):
Tb 0.000 0.000 0.167
Tb 0.000 0.000 0.833
Dy 0.000 0.000 0.500
Pd 0.000 0.500 0.000
Pd 0.000 0.500 0.334
Pd 0.000 0.500 0.666
Pd 0.500 0.000 0.000
Pd 0.500 0.000 0.334
Pd 0.500 0.000 0.666
Pd 0.500 0.500 0.167
Pd 0.500 0.500 0.500
Pd 0.500 0.500 0.833

Magnetic moment: 0.0000 μB/atom
VASP energy: -5.916 eV/atom
Crystal system: tetragonal
E_form: -0.866 eV per atom


## P2OsI2 (PBE-GGA)

Data for a relaxed P2OsI2 crystal.

Cell: 7.125 7.125 8.014 Å, 90.00 90.00 90.00°
Positions (direct):
P 0.095 0.405 0.000
P 0.405 0.905 0.000
P 0.595 0.095 0.000
P 0.905 0.595 0.000
Os 0.000 0.000 0.500
Os 0.500 0.500 0.500
I 0.179 0.679 0.500
I 0.321 0.179 0.500
I 0.679 0.821 0.500
I 0.821 0.321 0.500

Magnetic moment: 0.0032 μB/atom
VASP energy: -4.019 eV/atom
Crystal system: tetragonal
Polymorph energy (0 for the lowest one): 20.0 kJ/mol of formula units
Uncorrected formation energy: 1011 meV per atom


## TiGeRh3 (PBE-GGA)

Data for a relaxed TiGeRh3 crystal.

Cell: 4.484 4.484 4.484 Å, 90.00 90.00 90.00°
Positions (direct):
Ti 0.000 0.000 0.000
Ge 0.500 0.500 0.500
Rh 0.000 0.500 0.500
Rh 0.500 0.000 0.500
Rh 0.500 0.500 0.000

Magnetic moment: 0.0000 μB/atom
VASP energy: -6.590 eV/atom
Crystal system: cubic
E_form: 0.323 eV per atom
Polymorph energy (0 for the lowest one): 469.1 kJ/mol of formula units


## Rb2HoPu2Se6 (PBE-GGA)

Data for a relaxed Rb2HoPu2Se6 crystal.

Cell: 7.266 7.266 8.504 Å, 98.13 98.13 120.01°
Positions (direct):
Rb 0.166 0.834 0.000
Rb 0.834 0.166 0.000
Ho 0.000 0.000 0.500
Pu 0.334 0.666 0.500
Pu 0.666 0.334 0.500
Se 0.062 0.397 0.690
Se 0.271 0.271 0.310
Se 0.397 0.062 0.690
Se 0.603 0.938 0.310
Se 0.729 0.729 0.690
Se 0.938 0.603 0.310

Magnetic moment: 0.8182 μB/atom
VASP energy: -6.616 eV/atom
Crystal system: monoclinic
Uncorrected formation energy: -1518 meV per atom


## Tm3TeIr (PBE-GGA)

Data for a relaxed Tm3TeIr crystal.

Cell: 7.445 4.231 16.654 Å, 90.00 90.00 90.00°
Positions (direct):
Tm 0.017 0.250 0.089
Tm 0.133 0.750 0.448
Tm 0.181 0.250 0.705
Tm 0.319 0.750 0.205
Tm 0.367 0.250 0.948
Tm 0.483 0.750 0.589
Tm 0.517 0.250 0.411
Tm 0.633 0.750 0.052
Tm 0.681 0.250 0.795
Tm 0.819 0.750 0.295
Tm 0.867 0.250 0.552
Tm 0.983 0.750 0.911
Te 0.124 0.250 0.300
Te 0.376 0.750 0.800
Te 0.624 0.250 0.200
Te 0.876 0.750 0.700
Ir 0.242 0.750 0.043
Ir 0.258 0.250 0.543
Ir 0.742 0.750 0.457
Ir 0.758 0.250 0.957

Magnetic moment: 0.0000 μB/atom
VASP energy: -6.036 eV/atom
Crystal system: orthorhombic
Polymorph energy (0 for the lowest one): 0.0 kJ/mol of formula units
Uncorrected formation energy: -953 meV per atom


## CsScC3 (PBE-GGA)

Data for a relaxed CsScC3 crystal.

Cell: 4.556 4.556 4.556 Å, 90.00 90.00 90.00°
Positions (direct):
Cs 0.000 0.000 0.000
Sc 0.500 0.500 0.500
C 0.000 0.500 0.500
C 0.500 0.000 0.500
C 0.500 0.500 0.000

Magnetic moment: 0.0000 μB/atom
VASP energy: -4.795 eV/atom
Crystal system: cubic
E_form: 2.176 eV per atom
Polymorph energy (0 for the lowest one): 0.0 kJ/mol of formula units


## BaCr2Pb (PBE-GGA)

Data for a relaxed BaCr2Pb crystal.

Cell: 6.576 6.576 6.576 Å, 43.49 43.49 43.49°
Positions (direct):
Ba 0.000 0.000 0.000
Cr 0.201 0.201 0.201
Cr 0.799 0.799 0.799
Pb 0.500 0.500 0.500

Magnetic moment: 2.3083 μB/atom
VASP energy: -5.699 eV/atom
Crystal system: trigonal
E_form: 0.520 eV per atom


## BaNi3Sb3 (PBE-GGA)

Data for a relaxed BaNi3Sb3 crystal.

Cell: 7.015 7.015 7.015 Å, 90.00 90.00 90.00°
Positions (direct):
Ba 0.000 0.000 0.000
Ba 0.500 0.500 0.500
Ni 0.000 0.250 0.500
Ni 0.000 0.750 0.500
Ni 0.250 0.500 0.000
Ni 0.500 0.000 0.250
Ni 0.500 0.000 0.750
Ni 0.750 0.500 0.000
Sb 0.000 0.500 0.250
Sb 0.000 0.500 0.750
Sb 0.250 0.000 0.500
Sb 0.500 0.250 0.000
Sb 0.500 0.750 0.000
Sb 0.750 0.000 0.500

Magnetic moment: 0.0000 μB/atom
VASP energy: -4.844 eV/atom
Crystal system: cubic
Polymorph energy (0 for the lowest one): 0.0 kJ/mol of formula units
Uncorrected formation energy: -325 meV per atom


## V4CrOs (PBE-GGA)

Data for a relaxed V4CrOs crystal.

Cell: 4.028 4.028 5.812 Å, 90.13 90.13 90.00°
Positions (direct):
V 0.001 0.500 0.761
V 0.500 0.001 0.761
V 0.500 0.999 0.239
V 0.999 0.500 0.239
Cr 0.000 0.000 0.000
Os 0.500 0.500 0.500

Magnetic moment: 0.0000 μB/atom
VASP energy: -9.099 eV/atom
Crystal system: monoclinic
E_form: 0.456 eV per atom
Polymorph energy (0 for the lowest one): 422.2 kJ/mol of formula units


## CdHgMo2 (PBE-GGA)

Data for a relaxed CdHgMo2 crystal.

Cell: 3.303 3.303 6.911 Å, 90.00 90.00 90.00°
Positions (direct):
Cd 0.000 0.000 0.000
Hg 0.500 0.500 0.278
Mo 0.000 0.000 0.556
Mo 0.500 0.500 0.724

Magnetic moment: 0.0000 μB/atom
VASP energy: -5.379 eV/atom
Crystal system: tetragonal
E_form: 0.340 eV per atom
Polymorph energy (0 for the lowest one): 11.2 kJ/mol of formula units


## KTiB3 (PBE-GGA)

Data for a relaxed KTiB3 crystal.

Cell: 4.437 4.437 4.437 Å, 90.00 90.00 90.00°
Positions (direct):
K 0.000 0.000 0.000
Ti 0.500 0.500 0.500
B 0.000 0.500 0.500
B 0.500 0.000 0.500
B 0.500 0.500 0.000

Magnetic moment: 0.0000 μB/atom
VASP energy: -4.412 eV/atom
Crystal system: cubic
E_form: 1.393 eV per atom
Polymorph energy (0 for the lowest one): 0.0 kJ/mol of formula units